VASP calculation (PBE) on crystalline TaBiC3 at its relaxed geometry.

Computed properties:
DOS(E_F) = 0.861 states/eV per atom
Calculated total energy = -7.03 eV per atom

Cell lengths 4.251, 4.251, 4.251 Å; angles 90.00, 90.00, 90.00 degrees
Sites, in units of the cell vectors:
Bi  0.500  0.500  0.500
C  0.500  0.000  0.000
C  0.000  0.500  0.000
C  0.000  0.000  0.500
Ta  0.000  0.000  0.000